This record from the Alexandria database describes a relaxed ZrOs3Cl crystal. The functional is PBE-GGA.

polymorph energy (0 for the lowest one) = 0.0 meV/atom

a b c (Å): 4.3962 4.3962 4.3962
angles (deg): 90.00 90.00 90.00
Closest atoms and distances in Å follow each position.
Space group Pm-3m (No. 221)
Unique sites:
Zr  0.0000  0.0000  0.0000 (multiplicity 1)  12 Os 3.11
Os  0.0000  0.5000  0.5000 (multiplicity 3)  2 Cl 2.20
Cl  0.5000  0.5000  0.5000 (multiplicity 1)  6 Os 2.20


This record from the Alexandria database describes a relaxed ZrOsCl2 crystal. The functional is PBE-GGA.

polymorph energy (0 for the lowest one) = 882.9 meV/atom

a b c (Å): 6.4234 6.4234 6.4234
angles (deg): 90.00 90.00 90.00
Closest atoms and distances in Å follow each position.
Space group Fm-3m (No. 225)
Unique sites:
Zr  0.0000  0.0000  0.0000 (multiplicity 4)  8 Cl 2.78
Os  0.0000  0.0000  0.5000 (multiplicity 4)  8 Cl 2.78
Cl  0.2500  0.2500  0.2500 (multiplicity 8)  4 Zr 2.78, 4 Os 2.78


This record from the Alexandria database describes a relaxed ZrOs4Cl crystal. The functional is PBE-GGA.

a b c (Å): 7.4419 7.4419 7.4419
angles (deg): 90.00 90.00 90.00
Closest atoms and distances in Å follow each position.
Space group F-43m (No. 216)
Unique sites:
Zr  0.0000  0.0000  0.0000 (multiplicity 4)  12 Os 3.09, 4 Cl 3.22
Os  0.1249  0.1249  0.3751 (multiplicity 16)  6 Os 2.63
Cl  0.2500  0.2500  0.7500 (multiplicity 4)  12 Os 3.09, 4 Zr 3.22


Number 1: total moment 0.000 μB per atom, E -7.536 eV per atom, formation energy (no corrections) 1.281 eV per atom. Number 2: total moment 0.055 μB per atom, E -5.314 eV per atom, formation energy (no corrections) 0.554 eV per atom. Number 3: total moment 0.000 μB per atom, E -8.529 eV per atom, formation energy (no corrections) 0.690 eV per atom.